No. 1
Entry from Alexandria: a relaxed LiCa2ScAl crystal (PBEsol).

Unit cell a=4.883 b=5.756 c=5.756 alpha=90.00 beta=90.00 gamma=90.00
Site moments in Bohr magnetons follow the coordinates.
Fractional positions:
Sc: 0.500 0.500 0.500  0.53
Ca: 0.000 0.000 0.500  0.02
Ca: 0.000 0.500 0.000  0.02
Al: 0.000 0.000 0.000  -0.03
Li: 0.500 0.000 0.000  0.00

Computed properties:
Raw total energy   -2.911 eV/atom
Crystal system   tetragonal
Formation energy   0.47 eV/atom

***

No. 2
Entry from Alexandria: a relaxed Sc3SbPb crystal (PBEsol).

Unit cell a=5.244 b=5.244 c=5.244 alpha=90.00 beta=90.00 gamma=90.00
Fractional positions:
Pb: 0.500 0.500 0.500
Sb: 0.000 0.000 0.000
Sc: 0.000 0.500 0.000
Sc: 0.000 0.000 0.500
Sc: 0.500 0.000 0.000

Computed properties:
Raw total energy   -5.734 eV/atom
Crystal system   cubic

***

Look up the raw total energy of the second one.
-5.734 eV/atom

***

Number 1 is which compound?
LiCa2ScAl

***

What is the raw total energy in the first record?
-2.911 eV/atom